Material: ZnCdSnF6
Method: DFT, GGA-PBE
State: optimized geometry

```
ZnCdSnF6
1.0
5.688 0.000 0.000
-2.844 4.926 0.000
0.000 0.000 5.071
Zn Cd Sn F
1 1 1 6
direct
0.000 0.000 0.000
0.667 0.333 0.000
0.333 0.667 0.500
0.308 0.004 0.225
0.308 0.304 0.775
0.696 0.004 0.775
0.696 0.692 0.225
0.996 0.304 0.225
0.996 0.692 0.775
```

Computed properties:
The calculation puts the formation energy without anion corrections at -2.24 eV per atom.